Compound: ZnAgAs2Br
Source: Alexandria
Functional: PBEsol
Structure: optimized geometry

The space group is P4/mmm (No. 123) and the conventional cell measures 4.953, 4.953 and 5.196 Å, with angles of 90.00, 90.00 and 90.00 degrees. Symmetry generates all atoms from Zn at (0.000, 0.000, 0.000), Ag at (0.500, 0.500, 0.500), As at (0.000, 0.500, 0.500) and Br at (0.500, 0.500, 0.000).

The formation energy without anion corrections is 824 meV/atom. For the electronic total energy, the calculation gives -2.57 eV per atom.